The following is a DFT calculation (PBE with a Hubbard U) of Ni3PtO6 after structural relaxation.

The value obtained for the energy above the most stable polymorph in this dataset is 0 meV per atom.

The space group is R3 (No. 146, hexagonal axes) and the conventional cell measures 5.1046, 5.1046 and 13.7195 Å, with angles of 90.00, 90.00 and 120.00 degrees. The asymmetric unit holds Ni at (0.0000, 0.0000, 0.0000), Ni at (0.0000, 0.0000, 0.2007), Ni at (0.0000, 0.0000, 0.7072), Pt at (0.0000, 0.0000, 0.5085), O at (0.0062, 0.3103, 0.1042) and O at (0.0342, 0.6723, 0.2696).